No. 1
{"formula": "RbIn2P", "functional": "PBE", "state": "optimized geometry", "cell": [[-4.9567, -5.4876, 4.7005], [0.5683, -5.9786, -6.3805], [0.5091, -6.9732, 0.5628]], "species": ["P", "P", "Rb", "Rb", "In", "In", "In", "In"], "frac_coords": [[0.5000, 0.5000, 0.0000], [0.2500, 0.7500, 0.5000], [0.0000, 0.0000, 0.0000], [0.7500, 0.2500, 0.5000], [0.5444, 0.1250, 0.2500], [0.2056, 0.6250, 0.2500], [0.3750, 0.4556, 0.7500], [0.8750, 0.7944, 0.7500]], "crystal_system": "tetragonal", "ef_ev_per_atom": -0.045}

=====

No. 2
{"formula": "Rb2InP2", "functional": "PBE", "state": "optimized geometry", "cell": [[7.4363, 0.0000, 0.0000], [0.0000, 7.4363, 0.0000], [0.0000, 0.0000, 5.5493]], "species": ["P", "P", "P", "P", "Rb", "Rb", "Rb", "Rb", "In", "In"], "frac_coords": [[0.3975, 0.8975, 0.0000], [0.8975, 0.6025, 0.0000], [0.6025, 0.1025, 0.0000], [0.1025, 0.3975, 0.0000], [0.1824, 0.6824, 0.5000], [0.6824, 0.8176, 0.5000], [0.8176, 0.3176, 0.5000], [0.3176, 0.1824, 0.5000], [0.0000, 0.0000, 0.0000], [0.5000, 0.5000, 0.0000]], "crystal_system": "tetragonal", "relative_energy_ev_per_fu": 0.56, "ef_ev_per_atom": -0.165}

=====

One value per record, in order, for magnetic moment: 0.0, 0.0 μB per cell.